First-principles (GGA-PBEsol) data for a relaxed Cd4Ag3 crystal, as listed in the Alexandria database.

Calculated values
Calculated total energy: -2.142 eV/atom
N(E_F): 1.8 states/eV/cell
Distance to the lowest polymorph of the same formula: 0.000 eV per atom
Energy relative to the elements: -39 meV/atom

Cell: 3.3537 3.3537 11.7371 Å, 98.21 98.21 90.00°
Fractional coordinates of all 7 atoms:
1 Cd 0.1489 0.1489 0.2977
2 Ag 0.2831 0.2831 0.5661
3 Ag 0.7169 0.7169 0.4339
4 Ag 0.0000 0.0000 0.0000
5 Cd 0.4300 0.4300 0.8600
6 Cd 0.8511 0.8511 0.7023
7 Cd 0.5700 0.5700 0.1400

First-principles (GGA-PBEsol) data for a relaxed Cd2Ag crystal, as listed in the Alexandria database.

Calculated values
Calculated total energy: -1.944 eV/atom
N(E_F): 0.8 states/eV/cell
Distance to the lowest polymorph of the same formula: 0.026 eV per atom
Energy relative to the elements: -42 meV/atom

Cell: 3.0732 4.0347 5.1815 Å, 112.91 107.25 90.00°
Fractional coordinates of all 3 atoms:
1 Ag 0.0000 0.0000 0.0000
2 Cd 0.6634 0.6634 0.3268
3 Cd 0.3366 0.3366 0.6732

First-principles (GGA-PBEsol) data for a relaxed Cd2Ag crystal, as listed in the Alexandria database.

Calculated values
Calculated total energy: -1.897 eV/atom
N(E_F): 1.9 states/eV/cell
Distance to the lowest polymorph of the same formula: 0.073 eV per atom
Energy relative to the elements: 5 meV/atom

Cell: 5.4411 5.4411 5.4411 Å, 104.30 104.30 120.39°
Fractional coordinates of all 6 atoms:
1 Cd 0.3437 0.1563 0.5000
2 Ag 0.2500 0.2500 0.0000
3 Ag 0.7500 0.7500 0.0000
4 Cd 0.8437 0.3437 0.1875
5 Cd 0.1563 0.6563 0.8125
6 Cd 0.6563 0.8437 0.5000

First-principles (GGA-PBEsol) data for a relaxed CdAg crystal, as listed in the Alexandria database.

Calculated values
Calculated total energy: -2.292 eV/atom
N(E_F): 1.2 states/eV/cell
Energy relative to the elements: -38 meV/atom

Cell: 4.6748 4.6748 4.6748 Å, 60.00 60.00 60.00°
Fractional coordinates of all 4 atoms:
1 Cd 0.7500 0.7500 0.7500
2 Ag 0.0000 0.0000 0.0000
3 Ag 0.2500 0.2500 0.2500
4 Cd 0.5000 0.5000 0.5000

First-principles (GGA-PBEsol) data for a relaxed Cd7Ag crystal, as listed in the Alexandria database.

Calculated values
Calculated total energy: -1.459 eV/atom
N(E_F): 2.5 states/eV/cell
Energy relative to the elements: 3 meV/atom

Cell: 6.0844 6.0844 6.0844 Å, 60.00 60.00 60.00°
Fractional coordinates of all 8 atoms:
1 Cd 0.0000 0.0000 0.5000
2 Cd 0.0000 0.5000 0.5000
3 Ag 0.0000 0.0000 0.0000
4 Cd 0.5000 0.5000 0.5000
5 Cd 0.0000 0.5000 0.0000
6 Cd 0.5000 0.0000 0.0000
7 Cd 0.5000 0.5000 0.0000
8 Cd 0.5000 0.0000 0.5000

First-principles (GGA-PBEsol) data for a relaxed Cd2Ag crystal, as listed in the Alexandria database.

Calculated values
Calculated total energy: -1.917 eV/atom
N(E_F): 1.9 states/eV/cell
Distance to the lowest polymorph of the same formula: 0.052 eV per atom
Energy relative to the elements: -16 meV/atom

Cell: 2.9555 2.9555 13.5633 Å, 96.25 96.25 90.00°
Fractional coordinates of all 6 atoms:
1 Ag 0.2500 0.7500 0.5000
2 Ag 0.0000 0.0000 0.0000
3 Cd 0.5770 0.5770 0.1540
4 Cd 0.6730 0.1730 0.3460
5 Cd 0.8270 0.3270 0.6540
6 Cd 0.4230 0.4230 0.8460

First-principles (GGA-PBEsol) data for a relaxed CdAg5 crystal, as listed in the Alexandria database.

Calculated values
Calculated total energy: -2.996 eV/atom
N(E_F): 1.6 states/eV/cell
Distance to the lowest polymorph of the same formula: 0.000 eV per atom
Energy relative to the elements: -38 meV/atom

Cell: 4.1036 4.0192 6.5042 Å, 90.00 108.39 90.00°
Fractional coordinates of all 6 atoms:
1 Ag 0.3316 0.5000 0.6632
2 Ag 0.6684 0.5000 0.3368
3 Ag 0.1679 0.0000 0.3357
4 Ag 0.8321 0.0000 0.6643
5 Cd 0.5000 0.0000 0.0000
6 Ag 0.0000 0.5000 0.0000

First-principles (GGA-PBEsol) data for a relaxed CdAg2 crystal, as listed in the Alexandria database.

Calculated values
Calculated total energy: -2.622 eV/atom
N(E_F): 1.7 states/eV/cell
Distance to the lowest polymorph of the same formula: 0.050 eV per atom
Energy relative to the elements: -15 meV/atom

Cell: 4.6606 4.6606 5.6481 Å, 90.00 90.00 120.00°
Fractional coordinates of all 6 atoms:
1 Ag 0.0000 0.0000 0.0000
2 Ag 0.3333 0.6667 0.2500
3 Cd 0.3333 0.6667 0.7500
4 Ag 0.6667 0.3333 0.7500
5 Ag 0.0000 0.0000 0.5000
6 Cd 0.6667 0.3333 0.2500

First-principles (GGA-PBEsol) data for a relaxed CdAg2 crystal, as listed in the Alexandria database.

Calculated values
Calculated total energy: -2.654 eV/atom
N(E_F): 0.8 states/eV/cell
Distance to the lowest polymorph of the same formula: 0.017 eV per atom
Energy relative to the elements: -48 meV/atom

Cell: 2.9633 2.9633 6.3373 Å, 103.52 103.52 90.00°
Fractional coordinates of all 3 atoms:
1 Ag 0.3309 0.3309 0.6618
2 Cd 0.0000 0.0000 0.0000
3 Ag 0.6691 0.6691 0.3382

First-principles (GGA-PBEsol) data for a relaxed Cd3Ag5 crystal, as listed in the Alexandria database.

Calculated values
Calculated total energy: -2.586 eV/atom
N(E_F): 1.6 states/eV/cell
Distance to the lowest polymorph of the same formula: 0.000 eV per atom
Energy relative to the elements: -68 meV/atom

Cell: 4.1724 5.8157 5.8157 Å, 92.99 90.00 90.00°
Fractional coordinates of all 8 atoms:
1 Ag 0.0000 0.0000 0.5000
2 Cd 0.5000 0.7580 0.2420
3 Cd 0.0000 0.5000 0.5000
4 Ag 0.0000 0.0000 0.0000
5 Cd 0.5000 0.2420 0.7580
6 Ag 0.0000 0.5000 0.0000
7 Ag 0.5000 0.2519 0.2519
8 Ag 0.5000 0.7481 0.7481

First-principles (GGA-PBEsol) data for a relaxed CdAg5 crystal, as listed in the Alexandria database.

Calculated values
Calculated total energy: -2.978 eV/atom
N(E_F): 1.6 states/eV/cell
Distance to the lowest polymorph of the same formula: 0.019 eV per atom
Energy relative to the elements: -20 meV/atom

Cell: 2.8969 2.8969 12.1613 Å, 90.00 90.00 90.00°
Fractional coordinates of all 6 atoms:
1 Ag 0.0000 0.0000 0.0000
2 Ag 0.0000 0.0000 0.6725
3 Ag 0.0000 0.0000 0.3275
4 Ag 0.5000 0.5000 0.1633
5 Cd 0.5000 0.5000 0.5000
6 Ag 0.5000 0.5000 0.8367

First-principles (GGA-PBEsol) data for a relaxed CdAg5 crystal, as listed in the Alexandria database.

Calculated values
Calculated total energy: -2.985 eV/atom
N(E_F): 1.6 states/eV/cell
Distance to the lowest polymorph of the same formula: 0.012 eV per atom
Energy relative to the elements: -27 meV/atom

Cell: 2.9595 4.6875 7.4975 Å, 90.00 101.38 90.00°
Fractional coordinates of all 6 atoms:
1 Ag 0.9960 0.0000 0.9921
2 Cd 0.1139 0.5000 0.2278
3 Ag 0.6650 0.0000 0.3300
4 Ag 0.3307 0.0000 0.6613
5 Ag 0.4458 0.5000 0.8915
6 Ag 0.7820 0.5000 0.5640